{
  "formula": "Zr2AlNi5",
  "functional": "PBE-GGA",
  "state": "optimized geometry",
  "lattice": [[4.390, 2.081, 4.141], [2.637, 5.756, -0.812], [-5.825, -2.607, 0.127]],
  "species": ["Zr", "Zr", "Al", "Ni", "Ni", "Ni", "Ni", "Ni"],
  "fractional_positions": [[0.262, 0.262, 0.000], [0.738, 0.738, 0.000], [0.000, 0.000, 0.000], [0.500, 0.500, 0.000], [0.114, 0.614, 0.500], [0.614, 0.114, 0.500], [0.886, 0.386, 0.500], [0.386, 0.886, 0.500]],
  "e_form_ev_per_atom": -0.35,
  "total_magnetization_mub_per_atom": 0.000
}

---

{
  "formula": "Pm2SIN",
  "functional": "PBE-GGA",
  "state": "optimized geometry",
  "lattice": [[4.113, 0.000, 0.000], [2.057, 7.684, -0.048], [2.057, 1.225, 8.642]],
  "species": ["Pm", "Pm", "Pm", "Pm", "S", "S", "I", "I", "N", "N"],
  "fractional_positions": [[0.417, 0.864, 0.302], [0.583, 0.136, 0.698], [0.870, 0.228, 0.033], [0.130, 0.772, 0.967], [0.364, 0.401, 0.871], [0.636, 0.599, 0.129], [0.829, 0.741, 0.602], [0.171, 0.259, 0.398], [0.059, 0.057, 0.825], [0.941, 0.943, 0.175]],
  "formation_energy_uncorrected_ev_per_atom": -1.604,
  "total_magnetization_mub_per_atom": 0.000
}

---

{
  "formula": "NbI3O",
  "functional": "PBE-GGA",
  "state": "optimized geometry",
  "lattice": [[-2.246, 4.479, -0.746], [-1.963, -1.708, -4.347], [-4.095, -1.638, 2.493]],
  "species": ["I", "I", "I", "Nb", "O"],
  "fractional_positions": [[0.000, 0.500, 0.000], [0.000, 0.000, 0.500], [0.500, 0.000, 0.000], [0.500, 0.500, 0.500], [0.000, 0.000, 0.000]],
  "formation_energy_uncorrected_ev_per_atom": 0.866,
  "total_magnetization_mub_per_atom": 0.634
}